Record 1
DFT (PBE) results for crystalline MnSeBr2 at its relaxed geometry.

Properties
ΔE to the lowest computed polymorph   0.836 eV/atom
Formation energy from raw total energies   0.442 eV per atom

Unit cell a=4.7833 b=4.7833 c=4.1074 alpha=90.00 beta=90.00 gamma=90.01
Last column: magnetic moment on the atom in μB.
Positions (direct):
Br: 0.0000 0.0000 0.0000  0.00
Br: 0.5000 0.5000 0.0000  0.00
Se: 0.0000 0.5000 0.5000  -0.10
Mn: 0.5000 0.0000 0.5000  4.42



Record 2
DFT (PBE) results for crystalline MnSeBr2 at its relaxed geometry.

Properties
ΔE to the lowest computed polymorph   0.115 eV/atom
Formation energy from raw total energies   -0.279 eV per atom

Unit cell a=3.5226 b=7.4727 c=7.4878 alpha=38.88 beta=90.00 gamma=90.00
Last column: magnetic moment on the atom in μB.
Positions (direct):
Br: 0.0000 0.3815 0.3792  -0.03
Br: 0.0000 0.1185 0.1208  -0.03
Se: 0.5000 0.7500 0.7500  -0.40
Mn: 0.5000 0.2500 0.2500  3.61



Record 3
DFT (PBE) results for crystalline Mn2SeBr at its relaxed geometry.

Properties
ΔE to the lowest computed polymorph   0.895 eV/atom
Formation energy from raw total energies   0.697 eV per atom

Unit cell a=4.3017 b=4.3017 c=4.3017 alpha=60.00 beta=60.00 gamma=60.00
Positions (direct):
Br: 0.5000 0.5000 0.5000
Mn: 0.2500 0.2500 0.2500
Mn: 0.7500 0.7500 0.7500
Se: 0.0000 0.0000 0.0000



Record 4
DFT (PBE) results for crystalline Mn2SeBr at its relaxed geometry.

Properties
ΔE to the lowest computed polymorph   0.113 eV/atom
Formation energy from raw total energies   -0.085 eV per atom

Unit cell a=3.4931 b=3.6079 c=6.8088 alpha=89.98 beta=90.00 gamma=90.00
Last column: magnetic moment on the atom in μB.
Positions (direct):
Se: 0.5000 0.2500 0.2500  0.09
Br: 0.5000 0.7500 0.7500  0.07
Mn: 0.0000 0.7534 0.0601  3.98
Mn: 0.0000 0.7466 0.4399  3.98



Record 5
DFT (PBE) results for crystalline Mn2SeBr at its relaxed geometry.

Properties
ΔE to the lowest computed polymorph   0.011 eV/atom
Formation energy from raw total energies   -0.188 eV per atom

Unit cell a=6.7101 b=6.7101 c=6.7101 alpha=34.23 beta=34.23 gamma=34.23
Last column: magnetic moment on the atom in μB.
Positions (direct):
Se: 0.2500 0.2500 0.2500  0.10
Mn: 0.5176 0.5176 0.5176  4.12
Mn: 0.9824 0.9824 0.9824  4.12
Br: 0.7500 0.7500 0.7500  0.08



Record 6
DFT (PBE) results for crystalline MnSeBr2 at its relaxed geometry.

Properties
ΔE to the lowest computed polymorph   0.302 eV/atom
Formation energy from raw total energies   -0.092 eV per atom

Unit cell a=7.8121 b=7.8121 c=7.8121 alpha=154.41 beta=145.24 gamma=43.66
Last column: magnetic moment on the atom in μB.
Positions (direct):
Mn: 0.7500 0.2500 0.5000  4.09
Br: 0.8900 0.8900 0.0000  -0.06
Br: 0.6100 0.6100 0.0000  -0.06
Se: 0.2500 0.7500 0.5000  -0.40



Record 7
DFT (PBE) results for crystalline MnSeBr2 at its relaxed geometry.

Properties
ΔE to the lowest computed polymorph   0.296 eV/atom
Formation energy from raw total energies   -0.098 eV per atom

Unit cell a=12.2105 b=12.2105 c=12.2105 alpha=16.93 beta=16.93 gamma=16.93
Last column: magnetic moment on the atom in μB.
Positions (direct):
Br: 0.1214 0.1214 0.1214  0.12
Br: 0.8786 0.8786 0.8786  0.12
Mn: 0.5000 0.5000 0.5000  4.34
Se: 0.0000 0.0000 0.0000  0.32



Record 8
DFT (PBE) results for crystalline MnSeBr at its relaxed geometry.

Properties
Formation energy from raw total energies   -0.146 eV per atom

Unit cell a=7.4783 b=7.4789 c=7.4789 alpha=154.75 beta=154.75 gamma=36.01
Last column: magnetic moment on the atom in μB.
Positions (direct):
Mn: 0.3238 0.3238 0.0000  3.99
Se: 0.7246 0.7246 0.0000  -0.22
Br: 0.9516 0.9516 0.0000  0.08



Record 9
DFT (PBE) results for crystalline MnSe2Br4 at its relaxed geometry.

Properties
Formation energy from raw total energies   -0.336 eV per atom

Unit cell a=3.7094 b=7.4698 c=8.5595 alpha=76.68 beta=100.37 gamma=87.74
Last column: magnetic moment on the atom in μB.
Positions (direct):
Se: 0.2699 0.3898 0.5306  0.01
Se: 0.7301 0.6102 0.4694  0.01
Br: 0.4132 0.2468 0.9982  0.03
Br: 0.5868 0.7532 0.0018  0.03
Br: 0.8685 0.0698 0.6962  -0.03
Br: 0.1315 0.9302 0.3038  -0.03
Mn: 0.0000 0.0000 0.0000  3.68



Record 10
DFT (PBE) results for crystalline MnSeBr2 at its relaxed geometry.

Properties
ΔE to the lowest computed polymorph   0.581 eV/atom
Formation energy from raw total energies   0.187 eV per atom

Unit cell a=7.0337 b=7.0337 c=7.0337 alpha=147.43 beta=147.43 gamma=46.72
Last column: magnetic moment on the atom in μB.
Positions (direct):
Br: 0.0000 0.0000 0.0000  0.05
Br: 0.2500 0.7500 0.5000  0.02
Se: 0.7500 0.2500 0.5000  0.04
Mn: 0.5000 0.5000 0.0000  4.38



Record 11
DFT (PBE) results for crystalline MnSeBr at its relaxed geometry.

Properties
Formation energy from raw total energies   -0.509 eV per atom

Unit cell a=3.6539 b=3.6539 c=6.9185 alpha=90.00 beta=90.00 gamma=120.00
Last column: magnetic moment on the atom in μB.
Positions (direct):
Mn: 0.6667 0.3333 0.3461  3.84
Br: 0.0000 0.0000 0.1075  0.07
Se: 0.3333 0.6667 0.5464  -0.14



Record 12
DFT (PBE) results for crystalline MnSeBr2 at its relaxed geometry.

Properties
ΔE to the lowest computed polymorph   0.102 eV/atom
Formation energy from raw total energies   -0.292 eV per atom

Unit cell a=8.7444 b=8.7444 c=8.7444 alpha=24.40 beta=24.40 gamma=24.40
Last column: magnetic moment on the atom in μB.
Positions (direct):
Se: 0.7698 0.7698 0.7698  -0.30
Br: 0.2197 0.2197 0.2197  0.03
Br: 0.0186 0.0186 0.0186  -0.38
Mn: 0.4919 0.4919 0.4919  3.66



Question: Which of these has the highest formation energy from raw total energies?
Answer: number 3



Copy entry 11 word for word.
DFT (PBE) results for crystalline MnSeBr at its relaxed geometry.

Properties
Formation energy from raw total energies   -0.509 eV per atom

Unit cell a=3.6539 b=3.6539 c=6.9185 alpha=90.00 beta=90.00 gamma=120.00
Last column: magnetic moment on the atom in μB.
Positions (direct):
Mn: 0.6667 0.3333 0.3461  3.84
Br: 0.0000 0.0000 0.1075  0.07
Se: 0.3333 0.6667 0.5464  -0.14



Question: What is the formation energy from raw total energies in the fifth record?
Answer: -0.188 eV per atom



Question: Among the records above, which one has the lowest formation energy from raw total energies?
Answer: number 11